1.
Entry from the Alexandria database: BaCe2N after structural relaxation (PBE-GGA).

Structure (POSCAR):
```
BaCe2N
1.0
3.595 0.000 0.000
1.797 3.113 0.000
1.797 1.038 9.990
Ce Ba N
2 1 1
Direct
0.879 0.879 0.363
0.121 0.121 0.637
0.000 0.000 0.000
0.500 0.500 0.500
```

=====

2.
Entry from the Alexandria database: BaCe2N3 after structural relaxation (PBE-GGA).

Structure (POSCAR):
```
BaCe2N3
1.0
-4.849 0.942 -4.515
1.472 -5.347 -2.697
-4.189 0.122 4.524
Ce N Ba
4 6 2
Direct
0.000 0.833 0.167
0.500 0.833 0.167
0.500 0.167 0.833
0.000 0.167 0.833
0.750 0.001 0.500
0.250 0.999 0.500
0.250 0.001 0.001
0.750 0.500 0.001
0.750 0.999 0.999
0.250 0.500 0.999
0.250 0.500 0.500
0.750 0.500 0.500
```

Summary:
E above lowest polymorph in eV/atom: 0.100

=====

3.
Entry from the Alexandria database: Ba5Ce2N6 after structural relaxation (PBE-GGA).

Structure (POSCAR):
```
Ba5Ce2N6
1.0
-0.045 -2.492 6.654
2.062 -6.753 0.798
14.194 1.508 4.010
Ba N Ce
10 12 4
Direct
0.275 0.753 0.987
0.725 0.247 0.013
0.753 0.275 0.487
0.676 0.003 0.718
0.997 0.324 0.782
0.673 0.327 0.250
0.324 0.997 0.282
0.247 0.725 0.513
0.327 0.673 0.750
0.003 0.676 0.218
0.644 0.654 0.859
0.356 0.346 0.141
0.346 0.356 0.641
0.128 0.462 0.911
0.538 0.872 0.589
0.030 0.046 0.616
0.046 0.030 0.116
0.970 0.954 0.384
0.462 0.128 0.411
0.872 0.538 0.089
0.654 0.644 0.359
0.954 0.970 0.884
0.271 0.174 0.559
0.729 0.826 0.441
0.826 0.729 0.941
0.174 0.271 0.059
```

=====

4.
Entry from the Alexandria database: BaCe2N3 after structural relaxation (PBE-GGA).

Structure (POSCAR):
```
BaCe2N3
1.0
-1.785 -3.712 -0.912
3.948 -1.504 -1.607
3.089 -4.348 11.656
N Ce Ba
6 4 2
Direct
0.750 0.750 0.484
0.750 0.750 0.016
0.250 0.250 0.516
0.250 0.250 0.984
0.750 0.244 0.250
0.250 0.756 0.750
0.750 0.250 0.429
0.750 0.250 0.071
0.250 0.750 0.571
0.250 0.750 0.929
0.250 0.753 0.250
0.750 0.247 0.750
```

Summary:
E above lowest polymorph in eV/atom: 0.000

=====

5.
Entry from the Alexandria database: Ba3CeN3 after structural relaxation (PBE-GGA).

Structure (POSCAR):
```
Ba3CeN3
1.0
5.727 0.000 0.000
0.000 11.117 0.000
0.000 0.000 11.105
N Ba Ce
12 12 4
Direct
0.000 0.099 0.901
0.000 0.679 0.886
0.500 0.614 0.178
0.500 0.401 0.401
0.000 0.321 0.114
0.000 0.901 0.099
0.500 0.179 0.614
0.000 0.114 0.322
0.500 0.599 0.599
0.000 0.886 0.678
0.500 0.821 0.386
0.500 0.386 0.822
0.000 0.643 0.643
0.000 0.357 0.357
0.500 0.143 0.857
0.500 0.618 0.866
0.500 0.865 0.617
0.000 0.365 0.883
0.000 0.635 0.117
0.500 0.382 0.134
0.500 0.857 0.143
0.000 0.882 0.366
0.500 0.135 0.383
0.000 0.118 0.634
0.000 0.115 0.115
0.500 0.615 0.385
0.500 0.385 0.615
0.000 0.885 0.885
```

=====

6.
Entry from the Alexandria database: Ba4Ce3NbN8 after structural relaxation (PBE-GGA).

Structure (POSCAR):
```
Ba4Ce3NbN8
1.0
7.200 0.000 0.000
0.000 7.588 0.259
-3.600 -3.591 5.098
Ce N Ba Nb
3 8 4 1
Direct
0.500 0.500 0.500
0.000 0.500 0.500
0.500 0.500 0.000
0.272 0.317 0.545
0.728 0.683 0.455
0.246 0.316 0.031
0.785 0.316 0.031
0.785 0.316 0.570
0.215 0.684 0.969
0.754 0.684 0.969
0.215 0.684 0.430
0.000 0.000 0.000
0.500 0.000 0.000
0.500 0.000 0.500
0.000 0.000 0.500
0.000 0.500 0.000
```

=====

Number 1: formation energy from raw total energies -0.504 eV/atom. Number 2: formation energy from raw total energies -1.064 eV/atom. Number 3: formation energy from raw total energies -0.692 eV/atom. Number 4: formation energy from raw total energies -1.164 eV/atom. Number 5: formation energy from raw total energies -0.661 eV/atom. Number 6: formation energy from raw total energies -0.944 eV/atom.